1.
Sm4BCl5: optimized geometry, PBE. Values from VASP.

The structure in Quantum ESPRESSO input format:
```
&SYSTEM
  ibrav = 0, nat = 10, ntyp = 3
/
ATOMIC_SPECIES
Sm 150.36 Sm.upf
B 10.81 B.upf
Cl 35.45 Cl.upf
ATOMIC_POSITIONS crystal
Sm 0.648 0.648 0.086
B 0.500 0.500 0.000
Sm 0.999 0.999 0.220
Cl 0.165 0.165 0.337
Sm 0.001 0.001 0.780
Sm 0.352 0.352 0.914
Cl 0.170 0.170 0.847
Cl 0.500 0.500 0.500
Cl 0.835 0.835 0.663
Cl 0.830 0.830 0.153
CELL_PARAMETERS angstrom
8.845 -1.963 0.000
8.845 1.963 0.000
-1.976 0.000 7.824
```

Raw total energy   -0.189 Ha/atom
Symmetry   C2/m (12)
Calculated volume   271.7 Å³/f.u.
Magnetization   0.01 μB/f.u.

2.
Sm2Y2BCl5: optimized geometry, PBE. Values from VASP.

The structure in Quantum ESPRESSO input format:
```
&SYSTEM
  ibrav = 0, nat = 10, ntyp = 4
/
ATOMIC_SPECIES
Y 88.91 Y.upf
Cl 35.45 Cl.upf
B 10.81 B.upf
Sm 150.36 Sm.upf
ATOMIC_POSITIONS crystal
Y 0.353 0.353 0.917
Cl 0.826 0.826 0.146
Cl 0.167 0.167 0.327
Cl 0.174 0.174 0.854
Y 0.647 0.647 0.083
Cl 0.500 0.500 0.500
B 0.500 0.500 0.000
Cl 0.833 0.833 0.673
Sm 0.999 0.999 0.219
Sm 0.001 0.001 0.781
CELL_PARAMETERS angstrom
8.673 -1.939 0.000
8.673 1.939 0.000
-1.865 0.000 7.853
```

Raw total energy   -0.202 Ha/atom
Symmetry   C2/m (12)
Calculated volume   264.2 Å³/f.u.
Magnetization   0.00 μB/f.u.

3.
Tb4BCl5: optimized geometry, PBE. Values from VASP.

The structure in Quantum ESPRESSO input format:
```
&SYSTEM
  ibrav = 0, nat = 10, ntyp = 3
/
ATOMIC_SPECIES
Cl 35.45 Cl.upf
B 10.81 B.upf
Tb 158.93 Tb.upf
ATOMIC_POSITIONS crystal
Cl 0.165 0.165 0.334
Cl 0.829 0.829 0.156
B 0.500 0.500 0.000
Tb 0.999 0.999 0.218
Tb 0.647 0.647 0.083
Tb 0.353 0.353 0.917
Cl 0.835 0.835 0.666
Tb 0.001 0.001 0.782
Cl 0.500 0.500 0.500
Cl 0.171 0.171 0.844
CELL_PARAMETERS angstrom
-5.477 -6.866 -1.275
-3.873 -7.700 2.114
-4.622 5.372 3.511
```

Raw total energy   -0.188 Ha/atom
Symmetry   C2/m (12)
Calculated volume   255.9 Å³/f.u.
Magnetization   0.00 μB/f.u.

4.
Co2B: optimized geometry, PBE. Values from VASP.

The structure in Quantum ESPRESSO input format:
```
&SYSTEM
  ibrav = 0, nat = 6, ntyp = 2
/
ATOMIC_SPECIES
Co 58.93 Co.upf
B 10.81 B.upf
ATOMIC_POSITIONS crystal
Co 0.375 0.875 0.375
Co 0.375 0.375 0.875
B 0.250 0.250 0.250
Co 0.875 0.375 0.375
Co 0.375 0.375 0.375
B 0.500 0.500 0.500
CELL_PARAMETERS angstrom
2.969 1.714 4.849
-2.969 1.714 4.849
0.000 -3.428 4.849
```

Raw total energy   -0.191 Ha/atom
Symmetry   Fd-3m (227)
Calculated volume   74.0 Å³/f.u.
Magnetization   2.04 μB/f.u.

5.
Co2B: optimized geometry, PBE. Values from VASP.

The structure in Quantum ESPRESSO input format:
```
&SYSTEM
  ibrav = 0, nat = 6, ntyp = 2
/
ATOMIC_SPECIES
B 10.81 B.upf
Co 58.93 Co.upf
ATOMIC_POSITIONS crystal
B 0.000 0.500 0.500
B 0.500 0.500 0.000
Co 0.582 0.000 0.918
Co 0.918 0.000 0.582
Co 0.418 0.335 0.418
Co 0.082 0.665 0.082
CELL_PARAMETERS angstrom
-3.602 0.474 -1.903
-0.621 1.237 3.861
3.173 2.209 -1.369
```

Raw total energy   -0.263 Ha/atom
Symmetry   I4/mcm (140)
Calculated volume   26.2 Å³/f.u.
Magnetization   0.00 μB/f.u.

6.
CoB2: optimized geometry, PBE. Values from VASP.

The structure in Quantum ESPRESSO input format:
```
&SYSTEM
  ibrav = 0, nat = 6, ntyp = 2
/
ATOMIC_SPECIES
B 10.81 B.upf
Co 58.93 Co.upf
ATOMIC_POSITIONS crystal
B 0.223 0.777 0.500
B 0.277 0.277 0.000
Co 0.000 0.000 0.000
B 0.723 0.723 0.000
Co 0.500 0.500 0.500
B 0.777 0.223 0.500
CELL_PARAMETERS angstrom
5.043 0.000 0.000
0.000 5.043 0.000
0.000 0.000 2.325
```

Raw total energy   -0.223 Ha/atom
Symmetry   P4_2/mnm (136)
Calculated volume   29.6 Å³/f.u.
Magnetization   0.00 μB/f.u.

7.
Co5B16: optimized geometry, PBE. Values from VASP.

The structure in Quantum ESPRESSO input format:
```
&SYSTEM
  ibrav = 0, nat = 42, ntyp = 2
/
ATOMIC_SPECIES
B 10.81 B.upf
Co 58.93 Co.upf
ATOMIC_POSITIONS crystal
B 0.162 0.000 0.788
B 0.923 0.500 0.823
B 0.571 0.500 0.507
Co 0.317 0.500 0.047
B 0.009 0.500 0.707
B 0.203 0.500 0.667
B 0.838 0.000 0.212
B 0.069 0.000 0.694
B 0.929 0.500 0.507
B 0.423 0.500 0.177
B 0.605 0.000 0.984
Co 0.000 0.000 0.000
Co 0.500 0.000 0.000
Co 0.817 0.500 0.953
Co 0.683 0.500 0.953
B 0.577 0.500 0.823
B 0.431 0.000 0.694
B 0.509 0.500 0.293
B 0.077 0.500 0.177
Co 0.154 0.000 0.426
Co 0.653 0.000 0.574
B 0.250 0.000 0.214
B 0.750 0.000 0.786
B 0.931 0.000 0.306
B 0.297 0.500 0.667
B 0.429 0.500 0.493
Co 0.183 0.500 0.047
Co 0.847 0.000 0.574
B 0.338 0.000 0.788
B 0.395 0.000 0.016
B 0.491 0.500 0.707
B 0.703 0.500 0.333
B 0.662 0.000 0.212
B 0.797 0.500 0.333
B 0.250 0.500 0.389
B 0.991 0.500 0.293
B 0.071 0.500 0.493
B 0.569 0.000 0.306
B 0.750 0.500 0.611
B 0.105 0.000 0.016
B 0.895 0.000 0.984
Co 0.346 0.000 0.426
CELL_PARAMETERS angstrom
-5.315 -17.391 5.647
2.593 -1.063 -0.833
2.007 1.001 4.971
```

Raw total energy   -0.255 Ha/atom
Symmetry   Pmma (51)
Calculated volume   151.8 Å³/f.u.
Magnetization   0.00 μB/f.u.

8.
Co2B: optimized geometry, PBE. Values from VASP.

The structure in Quantum ESPRESSO input format:
```
&SYSTEM
  ibrav = 0, nat = 6, ntyp = 2
/
ATOMIC_SPECIES
Co 58.93 Co.upf
B 10.81 B.upf
ATOMIC_POSITIONS crystal
Co 0.125 0.625 0.625
Co 0.625 0.625 0.625
Co 0.625 0.125 0.625
Co 0.625 0.625 0.125
B 0.000 0.000 0.000
B 0.250 0.250 0.250
CELL_PARAMETERS angstrom
4.169 -0.103 1.637
1.716 3.629 1.990
0.668 0.020 4.430
```

Raw total energy   -0.213 Ha/atom
Symmetry   Fd-3m (227)
Calculated volume   31.8 Å³/f.u.
Magnetization   2.61 μB/f.u.

9.
CoB3: optimized geometry, PBE. Values from VASP.

The structure in Quantum ESPRESSO input format:
```
&SYSTEM
  ibrav = 0, nat = 4, ntyp = 2
/
ATOMIC_SPECIES
B 10.81 B.upf
Co 58.93 Co.upf
ATOMIC_POSITIONS crystal
B 0.500 0.500 0.000
B 0.250 0.750 0.500
Co 0.000 0.000 0.000
B 0.750 0.250 0.500
CELL_PARAMETERS angstrom
-1.473 1.473 3.090
1.473 -1.473 3.090
1.473 1.473 -3.090
```

Raw total energy   -0.234 Ha/atom
Symmetry   I4/mmm (139)
Energy above the most stable polymorph in this dataset   0.048 eV/atom
Calculated volume   26.8 Å³/f.u.
Magnetization   0.00 μB/f.u.

10.
CoB2: optimized geometry, PBE. Values from VASP.

The structure in Quantum ESPRESSO input format:
```
&SYSTEM
  ibrav = 0, nat = 6, ntyp = 2
/
ATOMIC_SPECIES
Co 58.93 Co.upf
B 10.81 B.upf
ATOMIC_POSITIONS crystal
Co 0.500 0.500 0.500
Co 0.250 0.250 0.250
B 0.375 0.875 0.375
B 0.875 0.375 0.375
B 0.375 0.375 0.875
B 0.375 0.375 0.375
CELL_PARAMETERS angstrom
3.492 4.347 2.059
4.776 1.697 -3.104
0.062 5.293 -2.702
```

Raw total energy   -0.196 Ha/atom
Symmetry   Fd-3m (227)
Calculated volume   74.2 Å³/f.u.
Magnetization   0.00 μB/f.u.

11.
CoB3: optimized geometry, PBE. Values from VASP.

The structure in Quantum ESPRESSO input format:
```
&SYSTEM
  ibrav = 0, nat = 4, ntyp = 2
/
ATOMIC_SPECIES
Co 58.93 Co.upf
B 10.81 B.upf
ATOMIC_POSITIONS crystal
Co 0.000 0.000 0.000
B 0.500 0.500 0.000
B 0.000 0.500 0.500
B 0.500 0.000 0.500
CELL_PARAMETERS angstrom
2.994 0.000 0.000
0.000 2.994 0.000
0.000 0.000 2.994
```

Raw total energy   -0.232 Ha/atom
Symmetry   Pm-3m (221)
Energy above the most stable polymorph in this dataset   0.085 eV/atom
Calculated volume   26.9 Å³/f.u.
Magnetization   0.01 μB/f.u.

12.
CoB3: optimized geometry, PBE. Values from VASP.

The structure in Quantum ESPRESSO input format:
```
&SYSTEM
  ibrav = 0, nat = 4, ntyp = 2
/
ATOMIC_SPECIES
B 10.81 B.upf
Co 58.93 Co.upf
ATOMIC_POSITIONS crystal
B 0.250 0.250 0.250
B 0.500 0.500 0.500
B 0.000 0.000 0.000
Co 0.750 0.750 0.750
CELL_PARAMETERS angstrom
-2.270 1.327 2.135
-2.537 1.900 -1.192
-3.172 -1.186 0.050
```

Raw total energy   -0.217 Ha/atom
Symmetry   Fm-3m (225)
Energy above the most stable polymorph in this dataset   0.501 eV/atom
Calculated volume   27.5 Å³/f.u.
Magnetization   0.00 μB/f.u.